A relaxed structure of Be2MoIrO. Source: the Alexandria database, functional PBE+U.

Summary:
As for the uncorrected energy: -5.901 eV/atom. The calculation puts the calculated volume at 11.59 A^3/atom.

a b c (Å): 3.701 4.232 3.701
angles (deg): 90.00 90.00 90.00
Fractional positions:
Be 0.000 0.000 0.500
Be 0.500 0.000 0.000
Ir 0.500 0.500 0.500
Mo 0.000 0.500 0.000
O 0.000 0.000 0.000